DFT (PBE) results for a geometry-optimized InTcPb2 structure.

Computed properties:
size of the total moment: 0.569 Bohr magnetons per cell
D(E_F): 3.071 states/eV per cell
energy of formation: 9.04 kcal/mol of atoms

Unit cell a=7.424 b=7.424 c=4.684 alpha=71.63 beta=71.63 gamma=24.73
Sites, in units of the cell vectors:
In1 0.181 0.181 0.319
Pb1 0.002 0.002 0.998
Pb2 0.815 0.815 0.684
Tc1 0.502 0.502 0.499

---

DFT (PBE) results for a geometry-optimized Th8Co2Bi structure.

Computed properties:
size of the total moment: 0.000 Bohr magnetons per cell
D(E_F): 13.254 states/eV per cell
energy of formation: 0.92 kcal/mol of atoms

Unit cell a=6.437 b=7.952 c=7.952 alpha=65.26 beta=108.99 gamma=108.99
Sites, in units of the cell vectors:
Th1 0.265 0.429 0.823
Th2 0.735 0.177 0.571
Th3 0.301 0.862 0.862
Th4 0.699 0.138 0.138
Th5 0.265 0.823 0.429
Th6 0.735 0.571 0.177
Th7 0.759 0.631 0.631
Th8 0.241 0.369 0.369
Co1 0.629 0.792 0.792
Co2 0.371 0.208 0.208
Bi1 0.000 0.000 0.000

---

DFT (PBE) results for a geometry-optimized CaYHg structure.

Computed properties:
size of the total moment: 0.000 Bohr magnetons per cell
D(E_F): 2.960 states/eV per cell
energy of formation: -4.47 kcal/mol of atoms
energy relative to the lowest polymorph listed for this composition: 121 meV per atom

Unit cell a=5.196 b=5.196 c=3.861 alpha=90.00 beta=90.00 gamma=120.00
Sites, in units of the cell vectors:
Y1 0.333 0.667 0.579
Ca1 0.000 0.000 0.049
Hg1 0.667 0.333 0.372

---

DFT (PBE) results for a geometry-optimized SrHgAsPb structure.

Computed properties:
size of the total moment: 0.000 Bohr magnetons per cell
D(E_F): 2.936 states/eV per cell
energy of formation: -9.16 kcal/mol of atoms

Unit cell a=5.419 b=5.419 c=5.419 alpha=60.00 beta=60.00 gamma=60.00
Sites, in units of the cell vectors:
Pb1 0.000 0.000 0.000
Sr1 0.500 0.500 0.500
As1 0.750 0.750 0.750
Hg1 0.250 0.250 0.250